(1)
A geometry-optimized ReRuPb2 structure, computed with PBE.

Crystal system: monoclinic
Energy above the most stable polymorph in this dataset in meV per atom: 392
Formation enthalpy at 0 K in eV/atom: 0.752

Unit cell a=5.369 b=5.369 c=5.561 alpha=66.85 beta=66.85 gamma=33.51
Sites, in units of the cell vectors:
Pb 0.027 0.027 0.937
Pb 0.224 0.224 0.309
Re 0.462 0.462 0.444
Ru 0.787 0.787 0.810

=====

(2)
A geometry-optimized ReRuPb2 structure, computed with PBE.

Crystal system: trigonal
Energy above the most stable polymorph in this dataset in meV per atom: 202
Formation enthalpy at 0 K in eV/atom: 0.562

Unit cell a=11.145 b=11.145 c=11.145 alpha=15.73 beta=15.73 gamma=15.73
Sites, in units of the cell vectors:
Pb 0.981 0.981 0.981
Pb 0.768 0.768 0.768
Re 0.514 0.514 0.514
Ru 0.238 0.238 0.238

=====

(3)
A geometry-optimized ReRuPb2 structure, computed with PBE.

Crystal system: cubic
Energy above the most stable polymorph in this dataset in meV per atom: 532
Formation enthalpy at 0 K in eV/atom: 0.892

Unit cell a=4.745 b=4.745 c=4.745 alpha=60.00 beta=60.00 gamma=60.00
Sites, in units of the cell vectors:
Pb 0.250 0.250 0.250
Pb 0.750 0.750 0.750
Re 0.500 0.500 0.500
Ru 0.000 0.000 0.000

=====

(4)
A geometry-optimized ReRuPb4 structure, computed with PBE.

Crystal system: cubic
Formation enthalpy at 0 K in eV/atom: 1.609

Unit cell a=6.143 b=6.143 c=6.143 alpha=60.00 beta=60.00 gamma=60.00
Sites, in units of the cell vectors:
Re 0.750 0.750 0.750
Ru 0.000 0.000 0.000
Pb 0.375 0.875 0.375
Pb 0.875 0.375 0.375
Pb 0.375 0.375 0.875
Pb 0.375 0.375 0.375

=====

(5)
A geometry-optimized ReRuPb2 structure, computed with PBE.

Crystal system: trigonal
Energy above the most stable polymorph in this dataset in meV per atom: 595
Formation enthalpy at 0 K in eV/atom: 0.955

Unit cell a=8.890 b=8.890 c=8.890 alpha=20.84 beta=20.84 gamma=20.84
Sites, in units of the cell vectors:
Pb 0.002 0.002 0.002
Pb 0.498 0.498 0.498
Re 0.250 0.250 0.250
Ru 0.750 0.750 0.750

=====

(6)
A geometry-optimized ReRuPb2 structure, computed with PBE.

Crystal system: tetragonal
Energy above the most stable polymorph in this dataset in meV per atom: 735
Formation enthalpy at 0 K in eV/atom: 1.095

Unit cell a=5.353 b=5.353 c=5.353 alpha=134.00 beta=134.00 gamma=67.09
Sites, in units of the cell vectors:
Pb 0.000 0.000 0.000
Pb 0.250 0.750 0.500
Re 0.500 0.500 0.000
Ru 0.750 0.250 0.500

=====

no.,density of states at the Fermi level (states/eV/f.u.)
1,3.5
2,3.0
3,4.3
4,4.5
5,5.2
6,4.9